An optimized crystal structure of KPr2Br8. Source: Alexandria, functional PBE.

Unit cell a=5.7199 b=8.6450 c=8.6450 alpha=115.62 beta=90.05 gamma=90.05
Fractional coordinates of all 11 atoms:
Br 0.9990 0.6756 0.9412
Br 0.9990 0.9412 0.6756
Br 0.0010 0.3244 0.0588
Br 0.7469 0.4994 0.4994
Br 0.2531 0.5006 0.5006
Br 0.5000 0.2549 0.7451
Br 0.0010 0.0588 0.3244
Br 0.5000 0.7451 0.2549
Pr 0.0000 0.6977 0.3023
Pr 0.0000 0.3023 0.6977
K 0.5000 0.0000 0.0000

Uncorrected energy (eV per atom): -3.8566
Total magnetization (μB per formula unit): 0.000
Polymorph energy (0 for the lowest one) (meV per atom): 0
Formation energy without anion corrections (eV per atom): -1.671